Material: LiSn5
Method: DFT, PBE
State: relaxed

Results
**DOS at the Fermi energy**: 2.53 states/eV/f.u.
**SG**: Cmmm, No. 65
**Electronic total energy**: -22.0 eV for the cell shown
**Polymorph energy (0 for the lowest one)**: 47.8 meV/atom
**Energy of formation**: -0.018 eV per atom
**Spin magnetization**: 0.000 μB/cell

The structure in CIF format:
```
data_LiSn5
_cell_length_a 3.413
_cell_length_b 4.604
_cell_length_c 10.466
_cell_angle_alpha 90.00
_cell_angle_beta 99.38
_cell_angle_gamma 90.00
_space_group_name_H-M_alt 'P 1'
_space_group_IT_number 1
loop_
_space_group_symop_operation_xyz
'x,y,z'
loop_
_atom_site_label
_atom_site_type_symbol
_atom_site_fract_x
_atom_site_fract_y
_atom_site_fract_z
Sn1 Sn 0.500 0.500 0.000
Sn2 Sn 0.616 0.000 0.232
Sn3 Sn 0.184 0.500 0.368
Sn4 Sn 0.816 0.500 0.632
Sn5 Sn 0.384 0.000 0.768
Li1 Li 0.000 0.000 0.000
```



Material: Cu2SiP4
Method: DFT, PBE
State: relaxed

Results
**DOS at the Fermi energy**: 3.18 states/eV/f.u.
**SG**: I4_1/a, No. 88
**Electronic total energy**: -134.4 eV for the cell shown
**Spin magnetization**: 0.000 μB/cell

The structure in CIF format:
```
data_Cu2SiP4
_cell_length_a 10.202
_cell_length_b 10.202
_cell_length_c 10.202
_cell_angle_alpha 92.92
_cell_angle_beta 92.92
_cell_angle_gamma 153.90
_space_group_name_H-M_alt 'P 1'
_space_group_IT_number 1
loop_
_space_group_symop_operation_xyz
'x,y,z'
loop_
_atom_site_label
_atom_site_type_symbol
_atom_site_fract_x
_atom_site_fract_y
_atom_site_fract_z
P1 P 0.083 0.208 0.912
Si1 Si 0.125 0.875 0.750
Cu1 Cu 0.929 0.050 0.601
P2 P 0.458 0.046 0.625
P3 P 0.558 0.128 0.267
Cu2 Cu 0.672 0.071 0.121
P4 P 0.541 0.308 0.930
P5 P 0.296 0.171 0.088
P6 P 0.792 0.704 0.875
P7 P 0.862 0.291 0.733
P8 P 0.954 0.579 0.412
P9 P 0.167 0.542 0.588
Si2 Si 0.125 0.875 0.250
Cu3 Cu 0.449 0.328 0.399
P10 P 0.709 0.442 0.570
Cu4 Cu 0.578 0.679 0.379
Cu5 Cu 0.950 0.551 0.879
P11 P 0.692 0.622 0.233
Si3 Si 0.125 0.375 0.250
Si4 Si 0.625 0.875 0.750
P12 P 0.378 0.612 0.070
P13 P 0.872 0.138 0.430
Cu6 Cu 0.801 0.422 0.101
Cu7 Cu 0.300 0.199 0.621
P14 P 0.388 0.459 0.767
P15 P 0.829 0.917 0.125
Cu8 Cu 0.321 0.700 0.899
P16 P 0.421 0.833 0.375
```



Material: MnTcIr2
Method: DFT, PBE
State: relaxed

Results
**DOS at the Fermi energy**: 3.45 states/eV/f.u.
**SG**: Immm, No. 71
**Electronic total energy**: -36.9 eV for the cell shown
**Polymorph energy (0 for the lowest one)**: 269.1 meV/atom
**Energy of formation**: 0.090 eV per atom
**Spin magnetization**: 3.182 μB/cell

The structure in CIF format:
```
data_MnTcIr2
_cell_length_a 5.209
_cell_length_b 5.209
_cell_length_c 5.209
_cell_angle_alpha 147.95
_cell_angle_beta 129.70
_cell_angle_gamma 60.90
_space_group_name_H-M_alt 'P 1'
_space_group_IT_number 1
loop_
_space_group_symop_operation_xyz
'x,y,z'
loop_
_atom_site_label
_atom_site_type_symbol
_atom_site_fract_x
_atom_site_fract_y
_atom_site_fract_z
Tc1 Tc 0.250 0.750 0.500
Mn1 Mn 0.750 0.250 0.500
Ir1 Ir 0.980 0.980 0.000
Ir2 Ir 0.520 0.520 0.000
```



- Look up the spin magnetization of the second one.
  0.000 μB/cell



- Which formula does entry 1 have?
  LiSn5



- electronic total energy of number 1 (LiSn5)?
  -22.0 eV for the cell shown